## Nb2Zn2Ni3 (PBE)

Data for a relaxed Nb2Zn2Ni3 crystal.

POSCAR file:
```
Nb2Zn2Ni3
1.0
-2.405 1.403 -2.985
-0.421 -3.841 1.324
-2.948 2.513 6.348
Zn Nb Ni
2 2 3
Cartesian
-2.356 -0.063 -0.923 Zn
-3.418 0.139 5.609 Zn
-1.782 0.821 1.822 Nb
-3.992 -0.746 2.864 Nb
0.000 0.000 0.000 Ni
-2.196 -1.581 1.026 Ni
-3.578 1.656 3.661 Ni
```

## Properties
* symmetry: R-3m, No. 166
* total energy: -40.10 eV/cell
* formation energy: -9.4 meV/atom